1.
Entry from the Alexandria database: a geometry-optimized AcPr2Tm4 structure (PBE).

Unit cell a=6.934 b=6.934 c=6.934 alpha=123.04 beta=103.14 gamma=103.14
Sites, in units of the cell vectors:
Tm 0.000 0.306 0.694
Tm 0.000 0.694 0.306
Tm 0.611 0.306 0.306
Tm 0.389 0.694 0.694
Ac 0.000 0.000 0.000
Pr 0.500 0.750 0.250
Pr 0.500 0.250 0.750

Computed properties:
- DFT total energy (eV/atom) = -4.293
- total magnetization (Bohr magnetons per cell) = 0.00
- symmetry = I4/mmm (139)

---

2.
Entry from the Alexandria database: a geometry-optimized AcPrTm structure (PBE).

Unit cell a=6.583 b=6.563 c=12.137 alpha=90.00 beta=90.00 gamma=122.73
Sites, in units of the cell vectors:
Pr 0.512 0.573 0.116
Pr 0.488 0.927 0.884
Pr 0.012 0.073 0.384
Pr 0.988 0.427 0.616
Tm 0.659 0.424 0.385
Tm 0.341 0.076 0.615
Tm 0.159 0.924 0.115
Tm 0.841 0.576 0.885
Ac 0.843 0.265 0.132
Ac 0.343 0.765 0.368
Ac 0.157 0.235 0.868
Ac 0.657 0.735 0.632

Computed properties:
- polymorph energy (0 for the lowest one) (meV per atom) = 4
- DFT total energy (eV/atom) = -4.398
- total magnetization (Bohr magnetons per cell) = 0.00
- symmetry = P2_1/c (14)

---

3.
Entry from the Alexandria database: a geometry-optimized AcPr7Tm2 structure (PBE).

Unit cell a=5.626 b=7.845 c=9.702 alpha=113.83 beta=106.82 gamma=90.00
Sites, in units of the cell vectors:
Pr 0.633 0.334 0.265
Pr 0.367 0.068 0.735
Pr 0.500 0.500 0.000
Pr 0.159 0.659 0.317
Pr 0.841 0.341 0.683
Pr 0.367 0.666 0.735
Pr 0.633 0.932 0.265
Ac 0.000 0.000 0.000
Tm 0.214 0.214 0.429
Tm 0.786 0.786 0.571

Computed properties:
- polymorph energy (0 for the lowest one) (meV per atom) = 0
- DFT total energy (eV/atom) = -4.490
- total magnetization (Bohr magnetons per cell) = 0.00
- symmetry = Immm (71)

---

4.
Entry from the Alexandria database: a geometry-optimized Ac5Pr6Tm2 structure (PBE).

Unit cell a=3.824 b=12.085 c=22.053 alpha=90.00 beta=90.00 gamma=90.00
Sites, in units of the cell vectors:
Pr 0.000 0.275 0.557
Pr 0.000 0.335 0.881
Pr 0.000 0.835 0.619
Pr 0.000 0.725 0.443
Pr 0.000 0.665 0.119
Pr 0.000 0.775 0.943
Pr 0.500 0.919 0.346
Pr 0.500 0.081 0.654
Pr 0.000 0.225 0.057
Pr 0.500 0.419 0.154
Pr 0.000 0.165 0.381
Pr 0.500 0.581 0.846
Ac 0.500 0.853 0.777
Ac 0.500 0.564 0.577
Ac 0.500 0.000 0.500
Ac 0.500 0.936 0.077
Ac 0.500 0.647 0.277
Ac 0.500 0.147 0.223
Ac 0.500 0.436 0.423
Ac 0.500 0.500 0.000
Ac 0.500 0.064 0.923
Ac 0.500 0.353 0.723
Tm 0.000 0.115 0.784
Tm 0.000 0.885 0.216
Tm 0.000 0.385 0.284
Tm 0.000 0.615 0.716

Computed properties:
- DFT total energy (eV/atom) = -4.402
- total magnetization (Bohr magnetons per cell) = 0.00
- symmetry = Pbam (55)

---

5.
Entry from the Alexandria database: a geometry-optimized Ac5Pr2Tm structure (PBE).

Unit cell a=11.408 b=9.707 c=13.050 alpha=111.75 beta=90.00 gamma=90.00
Sites, in units of the cell vectors:
Pr 0.443 0.314 0.195
Pr 0.566 0.080 0.903
Pr 0.557 0.686 0.805
Pr 0.934 0.080 0.403
Pr 0.066 0.920 0.597
Pr 0.943 0.686 0.305
Pr 0.434 0.920 0.097
Pr 0.057 0.314 0.695
Tm 0.500 0.000 0.500
Tm 0.000 0.000 0.000
Tm 0.000 0.500 0.000
Tm 0.500 0.500 0.500
Ac 0.788 0.300 0.136
Ac 0.629 0.139 0.332
Ac 0.776 0.854 0.092
Ac 0.129 0.861 0.168
Ac 0.712 0.300 0.636
Ac 0.661 0.464 0.950
Ac 0.224 0.146 0.908
Ac 0.212 0.700 0.864
Ac 0.339 0.536 0.050
Ac 0.871 0.139 0.832
Ac 0.110 0.321 0.221
Ac 0.610 0.679 0.279
Ac 0.288 0.700 0.364
Ac 0.161 0.536 0.550
Ac 0.724 0.854 0.592
Ac 0.390 0.321 0.721
Ac 0.839 0.464 0.450
Ac 0.371 0.861 0.668
Ac 0.890 0.679 0.779
Ac 0.276 0.146 0.408

Computed properties:
- DFT total energy (eV/atom) = -4.147
- total magnetization (Bohr magnetons per cell) = 0.00
- symmetry = P2_1/c (14)

---

6.
Entry from the Alexandria database: a geometry-optimized AcPr6Tm8 structure (PBE).

Unit cell a=8.685 b=8.685 c=9.826 alpha=63.77 beta=63.77 gamma=60.00
Sites, in units of the cell vectors:
Tm 0.047 0.788 0.587
Tm 0.788 0.578 0.587
Tm 0.578 0.047 0.587
Tm 0.291 0.291 0.126
Tm 0.212 0.422 0.413
Tm 0.953 0.212 0.413
Tm 0.709 0.709 0.874
Tm 0.422 0.953 0.413
Pr 0.158 0.349 0.829
Pr 0.651 0.336 0.171
Pr 0.349 0.664 0.829
Pr 0.664 0.158 0.829
Pr 0.336 0.842 0.171
Pr 0.842 0.651 0.171
Ac 0.000 0.000 0.000

Computed properties:
- DFT total energy (eV/atom) = -4.122
- total magnetization (Bohr magnetons per cell) = 0.00
- symmetry = R-3 (148)

---

7.
Entry from the Alexandria database: a geometry-optimized Ac2Pr3Tm6 structure (PBE).

Unit cell a=6.240 b=6.244 c=11.946 alpha=84.99 beta=79.93 gamma=60.02
Sites, in units of the cell vectors:
Tm 0.082 0.332 0.757
Tm 0.746 0.000 0.757
Tm 0.254 0.000 0.243
Tm 0.414 0.668 0.757
Tm 0.918 0.668 0.243
Tm 0.586 0.332 0.243
Ac 0.833 0.333 0.500
Ac 0.167 0.667 0.500
Pr 0.000 0.000 0.000
Pr 0.665 0.670 0.000
Pr 0.335 0.330 0.000

Computed properties:
- DFT total energy (eV/atom) = -4.294
- total magnetization (Bohr magnetons per cell) = 0.00
- symmetry = C2/m (12)

---

8.
Entry from the Alexandria database: a geometry-optimized AcPr5Tm4 structure (PBE).

Unit cell a=3.689 b=3.689 c=25.296 alpha=90.00 beta=90.00 gamma=90.00
Sites, in units of the cell vectors:
Pr 0.500 0.500 0.889
Pr 0.500 0.500 0.111
Pr 0.500 0.500 0.306
Pr 0.500 0.500 0.694
Pr 0.500 0.500 0.500
Ac 0.000 0.000 0.000
Tm 0.000 0.000 0.403
Tm 0.000 0.000 0.597
Tm 0.000 0.000 0.209
Tm 0.000 0.000 0.791

Computed properties:
- DFT total energy (eV/atom) = -4.559
- total magnetization (Bohr magnetons per cell) = 0.00
- symmetry = P4/mmm (123)

---

9.
Entry from the Alexandria database: a geometry-optimized Ac12Pr3Tm structure (PBE).

Unit cell a=5.529 b=5.529 c=22.099 alpha=90.00 beta=90.00 gamma=90.00
Sites, in units of the cell vectors:
Ac 0.000 0.500 0.123
Ac 0.500 0.000 0.374
Ac 0.000 0.500 0.877
Ac 0.500 0.000 0.626
Ac 0.000 0.500 0.374
Ac 0.500 0.000 0.877
Ac 0.500 0.500 0.500
Ac 0.500 0.000 0.123
Ac 0.500 0.500 0.249
Ac 0.500 0.500 0.000
Ac 0.500 0.500 0.751
Ac 0.000 0.500 0.626
Tm 0.000 0.000 0.000
Pr 0.000 0.000 0.500
Pr 0.000 0.000 0.752
Pr 0.000 0.000 0.248

Computed properties:
- DFT total energy (eV/atom) = -4.232
- total magnetization (Bohr magnetons per cell) = 0.00
- symmetry = P4/mmm (123)

---

10.
Entry from the Alexandria database: a geometry-optimized AcPrTm structure (PBE).

Unit cell a=3.614 b=5.929 c=5.929 alpha=120.00 beta=90.00 gamma=90.00
Sites, in units of the cell vectors:
Tm 0.167 0.333 0.667
Pr 0.666 0.667 0.333
Ac 0.166 0.000 0.000

Computed properties:
- polymorph energy (0 for the lowest one) (meV per atom) = 77
- DFT total energy (eV/atom) = -4.325
- total magnetization (Bohr magnetons per cell) = 0.00
- symmetry = P-6m2 (187)

---

11.
Entry from the Alexandria database: a geometry-optimized AcPr4Tm2 structure (PBE).

Unit cell a=6.938 b=6.938 c=6.455 alpha=97.89 beta=97.89 gamma=56.50
Sites, in units of the cell vectors:
Tm 0.539 0.539 0.264
Tm 0.461 0.461 0.736
Pr 0.838 0.838 0.492
Pr 0.500 0.000 0.000
Pr 0.000 0.500 0.000
Pr 0.162 0.162 0.508
Ac 0.000 0.000 0.000

Computed properties:
- DFT total energy (eV/atom) = -4.357
- total magnetization (Bohr magnetons per cell) = 0.00
- symmetry = C2/m (12)

---

12.
Entry from the Alexandria database: a geometry-optimized AcPr3Tm3 structure (PBE).

Unit cell a=10.957 b=8.455 c=10.958 alpha=89.90 beta=87.80 gamma=89.92
Sites, in units of the cell vectors:
Ac 0.041 0.814 0.040
Ac 0.734 0.969 0.987
Ac 0.189 0.157 0.189
Ac 0.986 0.968 0.734
Pr 0.439 0.804 0.017
Pr 0.017 0.804 0.439
Pr 0.510 0.972 0.734
Pr 0.770 0.503 0.998
Pr 0.767 0.257 0.274
Pr 0.268 0.750 0.268
Pr 0.526 0.293 0.526
Pr 0.228 0.455 0.475
Pr 0.734 0.972 0.510
Pr 0.998 0.502 0.771
Pr 0.475 0.455 0.228
Pr 0.274 0.256 0.767
Tm 0.976 0.244 0.500
Tm 0.258 0.714 0.731
Tm 0.006 0.500 0.245
Tm 0.781 0.563 0.540
Tm 0.508 0.028 0.272
Tm 0.500 0.244 0.976
Tm 0.245 0.500 0.006
Tm 0.731 0.714 0.258
Tm 0.539 0.563 0.781
Tm 0.487 0.711 0.487
Tm 0.272 0.027 0.508
Tm 0.739 0.259 0.739

Computed properties:
- DFT total energy (eV/atom) = -4.384
- total magnetization (Bohr magnetons per cell) = 0.00
- symmetry = P1 (1)

---

13.
Entry from the Alexandria database: a geometry-optimized Ac2Pr4Tm structure (PBE).

Unit cell a=8.907 b=8.909 c=8.908 alpha=109.48 beta=109.46 gamma=109.48
Sites, in units of the cell vectors:
Pr 0.465 0.107 0.207
Pr 0.100 0.893 0.358
Pr 0.957 0.607 0.715
Pr 0.651 0.758 0.043
Pr 0.793 0.258 0.900
Pr 0.642 0.742 0.535
Pr 0.285 0.242 0.893
Pr 0.107 0.393 0.349
Ac 0.267 0.642 0.125
Ac 0.483 0.358 0.625
Ac 0.875 0.142 0.517
Ac 0.375 0.858 0.733
Tm 0.750 0.500 0.250
Tm 0.000 0.000 0.000

Computed properties:
- DFT total energy (eV/atom) = -4.261
- total magnetization (Bohr magnetons per cell) = 0.00
- symmetry = I-42d (122)

---

14.
Entry from the Alexandria database: a geometry-optimized AcPr2Tm5 structure (PBE).

Unit cell a=7.166 b=7.166 c=7.166 alpha=91.44 beta=119.17 gamma=119.17
Sites, in units of the cell vectors:
Tm 0.500 0.222 0.222
Tm 0.000 0.722 0.222
Tm 0.500 0.722 0.722
Tm 0.000 0.722 0.722
Tm 0.000 0.222 0.722
Pr 0.500 0.222 0.722
Pr 0.500 0.722 0.222
Ac 0.000 0.222 0.222

Computed properties:
- DFT total energy (eV/atom) = -4.467
- total magnetization (Bohr magnetons per cell) = 0.00
- symmetry = I4/mmm (139)

---

15.
Entry from the Alexandria database: a geometry-optimized Ac2PrTm structure (PBE).

Unit cell a=5.254 b=5.412 c=5.412 alpha=90.00 beta=90.00 gamma=90.00
Sites, in units of the cell vectors:
Ac 0.000 0.000 0.500
Ac 0.000 0.500 0.000
Tm 0.500 0.500 0.500
Pr 0.500 0.000 0.000

Computed properties:
- polymorph energy (0 for the lowest one) (meV per atom) = 0
- DFT total energy (eV/atom) = -4.329
- total magnetization (Bohr magnetons per cell) = 0.00
- symmetry = P4/mmm (123)

---

16.
Entry from the Alexandria database: a geometry-optimized Ac5Pr6Tm structure (PBE).

Unit cell a=5.441 b=10.074 c=10.074 alpha=107.17 beta=105.69 gamma=105.69
Sites, in units of the cell vectors:
Ac 0.000 0.333 0.667
Ac 0.500 0.838 0.162
Ac 0.500 0.500 0.500
Ac 0.500 0.162 0.838
Ac 0.000 0.667 0.333
Pr 0.247 0.082 0.411
Pr 0.746 0.246 0.246
Pr 0.753 0.589 0.918
Pr 0.254 0.754 0.754
Pr 0.247 0.411 0.082
Pr 0.753 0.918 0.589
Tm 0.000 0.000 0.000

Computed properties:
- DFT total energy (eV/atom) = -4.440
- total magnetization (Bohr magnetons per cell) = 0.00
- symmetry = Immm (71)

---

17.
Entry from the Alexandria database: a geometry-optimized Ac2Pr7Tm3 structure (PBE).

Unit cell a=3.661 b=6.573 c=18.641 alpha=104.65 beta=90.00 gamma=90.00
Sites, in units of the cell vectors:
Tm 0.000 0.890 0.340
Tm 0.500 0.500 0.000
Tm 0.000 0.110 0.660
Pr 0.500 0.935 0.167
Pr 0.000 0.000 0.000
Pr 0.500 0.234 0.496
Pr 0.500 0.065 0.833
Pr 0.500 0.766 0.504
Pr 0.000 0.442 0.160
Pr 0.000 0.558 0.840
Ac 0.500 0.610 0.672
Ac 0.500 0.390 0.328

Computed properties:
- DFT total energy (eV/atom) = -4.506
- total magnetization (Bohr magnetons per cell) = 0.00
- symmetry = P2/m (10)

---

18.
Entry from the Alexandria database: a geometry-optimized Ac2PrTm structure (PBE).

Unit cell a=3.888 b=3.888 c=10.209 alpha=90.00 beta=90.00 gamma=90.00
Sites, in units of the cell vectors:
Tm 0.500 0.500 0.000
Pr 0.500 0.500 0.500
Ac 0.000 0.000 0.758
Ac 0.000 0.000 0.242

Computed properties:
- polymorph energy (0 for the lowest one) (meV per atom) = 8
- DFT total energy (eV/atom) = -4.321
- total magnetization (Bohr magnetons per cell) = 0.00
- symmetry = P4/mmm (123)

---

19.
Entry from the Alexandria database: a geometry-optimized AcPr6Tm2 structure (PBE).

Unit cell a=6.298 b=11.208 c=11.208 alpha=86.58 beta=65.58 gamma=65.58
Sites, in units of the cell vectors:
Tm 0.207 0.626 0.769
Tm 0.293 0.231 0.374
Tm 0.793 0.374 0.231
Tm 0.707 0.769 0.626
Pr 0.280 0.845 0.934
Pr 0.816 0.994 0.428
Pr 0.184 0.006 0.572
Pr 0.220 0.066 0.155
Pr 0.401 0.667 0.447
Pr 0.599 0.333 0.553
Pr 0.099 0.553 0.333
Pr 0.780 0.934 0.845
Pr 0.684 0.572 0.006
Pr 0.901 0.447 0.667
Pr 0.316 0.428 0.994
Pr 0.720 0.155 0.066
Ac 0.250 0.185 0.815
Ac 0.750 0.815 0.185

Computed properties:
- polymorph energy (0 for the lowest one) (meV per atom) = 133
- DFT total energy (eV/atom) = -4.450
- total magnetization (Bohr magnetons per cell) = 0.00
- symmetry = C2/c (15)

---

20.
Entry from the Alexandria database: a geometry-optimized Ac3Pr6Tm2 structure (PBE).

Unit cell a=3.764 b=3.764 c=33.571 alpha=86.79 beta=86.79 gamma=60.00
Sites, in units of the cell vectors:
Ac 0.000 0.000 0.000
Ac 0.271 0.271 0.188
Ac 0.729 0.729 0.812
Tm 0.456 0.456 0.631
Tm 0.544 0.544 0.369
Pr 0.635 0.635 0.094
Pr 0.094 0.094 0.717
Pr 0.365 0.365 0.906
Pr 0.182 0.182 0.455
Pr 0.818 0.818 0.545
Pr 0.906 0.906 0.283

Computed properties:
- DFT total energy (eV/atom) = -4.497
- total magnetization (Bohr magnetons per cell) = 0.00
- symmetry = R-3m (166)